1.
Here is crystalline Tc4PW at its relaxed geometry from the Alexandria database. Energies are from PBE.

a b c (Å): 7.1901 7.1901 7.1901
angles (deg): 90.00 90.00 90.00
Last column: nearest neighbours and their distance in Å.
Space group F-43m (No. 216)
Asymmetric unit:
Tc: 0.1241 0.1241 0.3759 x16  6 Tc 2.52-2.56
P: 0.2500 0.2500 0.7500 x4  12 Tc 2.98, 4 W 3.11
W: 0.0000 0.0000 0.0000 x4  12 Tc 2.98, 4 P 3.11

Values from the calculation:
Formation energy from the elements in meV per atom: 593
Total magnetic moment in μB per atom: 0.000
V in Å³ per cell: 371.7
Raw total energy in eV per atom: -9.378

***

2.
Here is crystalline CaSm3Y3 at its relaxed geometry from the Alexandria database. Energies are from PBE.

a b c (Å): 6.8931 8.6113 9.3645
angles (deg): 65.81 71.95 77.11
Last column: nearest neighbours and their distance in Å.
Space group P-1 (No. 2)
Asymmetric unit:
Ca: 0.0194 0.0948 0.1337 x2  1 Ca 3.60, 7 Sm 3.61-3.75, 4 Y 3.66-3.79
Sm: 0.1191 0.4779 0.1612 x2  6 Y 3.52-3.76, 4 Sm 3.58-3.72, 2 Ca 3.64-3.72
Sm: 0.2735 0.0476 0.4365 x2  4 Sm 3.49-3.76, 6 Y 3.54-3.75, 2 Ca 3.62-3.72
Sm: 0.4589 0.8030 0.9930 x2  5 Y 3.55-3.82, 4 Sm 3.58-3.68, 3 Ca 3.61-3.75
Y: 0.1659 0.6634 0.4200 x2  5 Sm 3.52-3.75, 6 Y 3.56-3.64, 1 Ca 3.72
Y: 0.3169 0.2461 0.6947 x2  5 Y 3.54-3.63, 5 Sm 3.55-3.82, 2 Ca 3.66-3.79
Y: 0.4112 0.6177 0.7246 x2  7 Sm 3.54-3.76, 4 Y 3.54-3.64, 1 Ca 3.70

Values from the calculation:
Formation energy from the elements in meV per atom: 43
Total magnetic moment in μB per atom: 0.000
V in Å³ per cell: 479.1
Raw total energy in eV per atom: -5.035

***

3.
Here is crystalline Na3TlCd2 at its relaxed geometry from the Alexandria database. Energies are from PBE.

a b c (Å): 9.1257 10.9547 7.1125
angles (deg): 90.00 92.42 90.00
Last column: nearest neighbours and their distance in Å.
Space group C2/c (No. 15)
Asymmetric unit:
Na: 0.0000 0.2318 0.2500 x4  1 Tl 3.05, 4 Cd 3.18-3.24
Na: 0.2007 0.0345 0.9765 x8  3 Cd 3.24-3.60, 2 Tl 3.27-3.30, 1 Na 3.48
Tl: 0.0000 0.4895 0.7500 x4  5 Na 3.05-3.30, 2 Cd 3.08
Cd: 0.1503 0.2455 0.6610 x8  2 Cd 2.99-3.07, 1 Tl 3.08, 3 Na 3.18-3.24

Values from the calculation:
Formation energy from the elements in meV per atom: -26
Total magnetic moment in μB per atom: 0.000
V in Å³ per cell: 710.4
Raw total energy in eV per atom: -1.385
Excess energy over the best structure of this formula in the dataset in meV per atom: 81

***

4.
Here is crystalline ZnCrHg at its relaxed geometry from the Alexandria database. Energies are from PBE.

a b c (Å): 3.1733 3.6348 9.2469
angles (deg): 90.00 90.00 90.00
Last column: nearest neighbours and their distance in Å.
Space group Imm2 (No. 44)
Asymmetric unit:
Zn: 0.0000 0.0000 0.0000 x2  4 Cr 2.77, 5 Hg 2.89-3.02
Cr: 0.0000 0.0000 0.6465 x2  4 Zn 2.77, 5 Hg 2.93-2.95
Hg: 0.0000 0.0000 0.3270 x2  5 Zn 2.89-3.02, 5 Cr 2.93-2.95, 2 Hg 3.17

Values from the calculation:
Formation energy from the elements in meV per atom: 343
Total magnetic moment in μB per atom: 1.368
V in Å³ per cell: 106.7
Raw total energy in eV per atom: -3.390
Excess energy over the best structure of this formula in the dataset in meV per atom: 12

***

5.
Here is crystalline Li2BeI at its relaxed geometry from the Alexandria database. Energies are from PBE.

a b c (Å): 7.0425 7.0425 7.0425
angles (deg): 90.00 90.00 90.00
Last column: nearest neighbours and their distance in Å.
Space group Fm-3m (No. 225)
Asymmetric unit:
Li: 0.2500 0.2500 0.2500 x8  4 Be 3.05, 4 I 3.05
Be: 0.0000 0.0000 0.0000 x4  8 Li 3.05
I: 0.0000 0.0000 0.5000 x4  8 Li 3.05

Values from the calculation:
Total magnetic moment in μB per atom: 0.000
V in Å³ per cell: 349.3
Uncorrected formation energy in eV/atom: 0.226
Raw total energy in eV per atom: -2.050
Excess energy over the best structure of this formula in the dataset in meV per atom: 50

***

6.
Here is crystalline ScTeOs2 at its relaxed geometry from the Alexandria database. Energies are from PBE.

a b c (Å): 3.1762 4.5811 4.7752
angles (deg): 90.00 90.00 90.00
Last column: nearest neighbours and their distance in Å.
Space group Pmmm (No. 47)
Asymmetric unit:
Sc: 0.0000 0.0000 0.0000 x1  4 Os 2.79, 4 Te 2.87
Te: 0.5000 0.0000 0.5000 x1  4 Os 2.79, 4 Sc 2.87
Os: 0.0000 0.5000 0.5000 x1  4 Te 2.79, 4 Os 2.87
Os: 0.5000 0.5000 0.0000 x1  4 Sc 2.79, 4 Os 2.87

Values from the calculation:
Total magnetic moment in μB per atom: 0.000
V in Å³ per cell: 69.5
Uncorrected formation energy in eV/atom: 0.302
Raw total energy in eV per atom: -7.681